# 1
Below is a geometry-optimized AcPrDy2Er4 structure, with properties calculated at the PBE-GGA level.

a b c (Å): 9.6135 9.6136 11.9125
angles (deg): 128.28 128.28 88.58
Site moments in Bohr magnetons follow the coordinates.
Positions (direct):
Ac 0.0000 0.5000 0.0000  0.06
Ac 0.0000 0.5000 0.5000  0.06
Pr 0.5000 0.5000 0.5000  0.13
Pr 0.0000 0.0000 0.0000  0.13
Dy 0.5000 0.0000 0.0000  0.12
Dy 0.5000 0.0000 0.5000  0.12
Dy 0.0000 0.0000 0.5000  0.14
Dy 0.5000 0.5000 0.0000  0.14
Er 0.2676 0.7581 0.0128  0.12
Er 0.7419 0.2324 0.4872  0.12
Er 0.2581 0.7675 0.5128  0.12
Er 0.7325 0.2419 0.9872  0.12
Er 0.7413 0.7600 0.0061  0.14
Er 0.7399 0.7587 0.4939  0.14
Er 0.2600 0.2414 0.5061  0.14
Er 0.2586 0.2400 0.9939  0.14

Output
crystal system: orthorhombic
ΔE_f: 0.45 eV per atom

=====

# 2
Below is a geometry-optimized Tm8Tl2Zn structure, with properties calculated at the PBE-GGA level.

a b c (Å): 5.1040 6.7140 9.4778
angles (deg): 102.31 105.62 90.00
Positions (direct):
Tm 0.4097 0.5458 0.8194
Tm 0.6521 0.9688 0.3042
Tm 0.7995 0.7022 0.5991
Tm 0.9814 0.2309 0.9628
Tm 0.2005 0.2978 0.4009
Tm 0.3479 0.0312 0.6958
Tm 0.5903 0.4542 0.1806
Tm 0.0186 0.7691 0.0372
Tl 0.8113 0.2560 0.6225
Tl 0.1887 0.7440 0.3775
Zn 0.5000 0.0000 0.0000

Output
crystal system: monoclinic
ΔE_f: -0.14 eV per atom

=====

# 3
Below is a geometry-optimized CaReIr2 structure, with properties calculated at the PBE-GGA level.

a b c (Å): 7.4493 7.4493 5.9834
angles (deg): 51.50 51.50 90.00
Positions (direct):
Re 0.0000 0.0000 0.0000
Re 0.7500 0.2500 0.5000
Ca 0.5000 0.5000 0.0000
Ca 0.2500 0.7500 0.5000
Ir 0.6833 0.1250 0.2500
Ir 0.0667 0.6250 0.2500
Ir 0.3750 0.3167 0.7500
Ir 0.8750 0.9333 0.7500

Output
excess energy over the best structure of this formula in the dataset: 388 meV per atom
crystal system: tetragonal
ΔE_f: 0.42 eV per atom

=====

# 4
Below is a geometry-optimized Dy8Te3P3C structure, with properties calculated at the PBE-GGA level.

a b c (Å): 8.0511 8.0458 8.4929
angles (deg): 118.26 90.00 120.04
Site moments in Bohr magnetons follow the coordinates.
Positions (direct):
Dy 0.2648 0.5296 0.2941  -0.01
Dy 0.7352 0.4704 0.7059  -0.01
Dy 0.7832 0.5664 0.3058  0.07
Dy 0.2168 0.4336 0.6942  0.07
Dy 0.7831 0.0224 0.3059  0.07
Dy 0.2169 0.9776 0.6941  0.07
Dy 0.2393 0.0225 0.3060  0.07
Dy 0.7607 0.9775 0.6940  0.07
Te 0.0000 0.0000 0.0000  0.00
Te 0.0000 0.5000 0.0000  0.00
Te 0.5000 0.5000 0.0000  0.00
P 0.5000 0.0000 0.5000  0.00
P 0.5000 0.5000 0.5000  0.00
P 0.0000 0.5000 0.5000  0.00
C 0.0000 0.0000 0.5000  -0.01

Output
formation energy without anion corrections: -1246 meV per atom
crystal system: monoclinic

=====

# 5
Below is a geometry-optimized KLi2La structure, with properties calculated at the PBE-GGA level.

a b c (Å): 5.7440 5.7440 5.7440
angles (deg): 60.00 60.00 60.00
Site moments in Bohr magnetons follow the coordinates.
Positions (direct):
K 0.5000 0.5000 0.5000  0.01
La 0.7500 0.7500 0.7500  0.15
Li 0.0000 0.0000 0.0000  0.01
Li 0.2500 0.2500 0.2500  0.01

Output
crystal system: cubic
ΔE_f: 0.46 eV per atom

=====

# 6
Below is a geometry-optimized MgCr4Co structure, with properties calculated at the PBE-GGA level.

a b c (Å): 4.7605 4.7605 4.7605
angles (deg): 60.00 60.00 60.00
Positions (direct):
Mg 0.7500 0.7500 0.7500
Cr 0.3762 0.8714 0.3762
Cr 0.8714 0.3762 0.3762
Cr 0.3762 0.3762 0.8714
Cr 0.3762 0.3762 0.3762
Co 0.0000 0.0000 0.0000

Output
crystal system: cubic
ΔE_f: 0.36 eV per atom

=====

Number 1: theoretical density 8203 kg/m3. Number 2: theoretical density 9939 kg/m3. Number 3: theoretical density 12878 kg/m3. Number 4: theoretical density 7445 kg/m3. Number 5: theoretical density 2378 kg/m3. Number 6: theoretical density 6339 kg/m3.